Th2OsAu | GGA-PBE | optimized geometry

Computed properties:
ΔE_f ... -2.0 eV/f.u.
Total magnetization ... 0.00 μB per formula unit

Cell: 4.1922 4.1922 7.5529 Å, 73.89 73.89 60.00°
Fractional coordinates of all 4 atoms:
Th: 0.0709 0.0709 0.7874
Th: 0.2627 0.2627 0.2119
Os: 0.6656 0.6656 0.0032
Au: 0.5008 0.5008 0.4975

---

Th6OsAu2 | GGA-PBE | optimized geometry

Computed properties:
ΔE_f ... -2.8 eV/f.u.
Total magnetization ... 0.00 μB per formula unit

Cell: 6.4032 7.8106 10.4603 Å, 90.00 92.33 90.00°
Fractional coordinates of all 18 atoms:
Th: 0.8543 0.9667 0.2456
Th: 0.8538 0.6628 0.5529
Th: 0.8613 0.6954 0.9428
Th: 0.6387 0.1954 0.5572
Th: 0.6462 0.1628 0.9471
Th: 0.6457 0.4667 0.2544
Th: 0.1457 0.0333 0.7544
Th: 0.1462 0.3372 0.4471
Th: 0.1387 0.3046 0.0572
Th: 0.3613 0.8046 0.4428
Th: 0.3538 0.8372 0.0529
Th: 0.3543 0.5333 0.7456
Os: 0.5000 0.5000 0.0000
Os: 0.0000 0.0000 0.5000
Au: 0.9129 0.3825 0.7641
Au: 0.5871 0.8825 0.7359
Au: 0.4129 0.1175 0.2641
Au: 0.0871 0.6175 0.2359

---

Th7Os2Au2 | GGA-PBE | optimized geometry

Computed properties:
ΔE_f ... -4.2 eV/f.u.
ΔE to the lowest computed polymorph ... 0.0 kJ per mole of atoms
Total magnetization ... 0.00 μB per formula unit

Cell: 3.8942 9.4462 9.4462 Å, 65.33 78.10 78.10°
Fractional coordinates of all 11 atoms:
Th: 0.8116 0.0847 0.2922
Th: 0.8634 0.3879 0.8853
Th: 0.5000 0.0129 0.9871
Th: 0.6269 0.4858 0.2603
Th: 0.3731 0.7397 0.5142
Th: 0.1884 0.7078 0.9153
Th: 0.1366 0.1147 0.6121
Os: 0.7312 0.8633 0.6743
Os: 0.2688 0.3257 0.1367
Au: 0.0000 0.7640 0.2360
Au: 0.5000 0.3671 0.6329

---

Th2OsAu | GGA-PBE | optimized geometry

Computed properties:
ΔE_f ... -1.3 eV/f.u.
Total magnetization ... 0.00 μB per formula unit

Cell: 4.0932 7.7244 7.9089 Å, 79.04 105.01 74.67°
Fractional coordinates of all 8 atoms:
Th: 0.9901 0.4112 0.0340
Th: 0.4534 0.0632 0.6143
Th: 0.6779 0.5410 0.5402
Th: 0.7656 0.9334 0.1082
Os: 0.3756 0.3872 0.7814
Os: 0.0677 0.0873 0.8669
Au: 0.2218 0.7372 0.8242
Au: 0.7218 0.2372 0.3242

---

Th6OsAu5 | GGA-PBE | optimized geometry

Computed properties:
ΔE_f ... -6.3 eV/f.u.
Total magnetization ... 0.00 μB per formula unit

Cell: 5.1970 7.4714 9.0354 Å, 114.43 106.73 89.97°
Fractional coordinates of all 12 atoms:
Au: 0.3126 0.8126 0.6252
Au: 0.6689 0.6689 0.3379
Au: 0.0000 0.5000 0.0000
Au: 0.3311 0.3311 0.6621
Au: 0.6874 0.1874 0.3748
Os: 0.0000 0.0000 0.0000
Th: 0.1548 0.3918 0.3096
Th: 0.1549 0.9178 0.3096
Th: 0.5001 0.2319 0.0000
Th: 0.4999 0.7681 0.0000
Th: 0.8451 0.0822 0.6904
Th: 0.8452 0.6082 0.6904

---

Th5OsAu2 | GGA-PBE | optimized geometry

Computed properties:
ΔE_f ... -1.8 eV/f.u.
ΔE to the lowest computed polymorph ... 19.6 kJ per mole of atoms
Total magnetization ... 0.00 μB per formula unit

Cell: 5.5417 6.1474 15.1292 Å, 90.00 90.00 116.79°
Fractional coordinates of all 16 atoms:
Th: 0.9185 0.8369 0.8932
Th: 0.9185 0.8369 0.6068
Th: 0.4114 0.8227 0.4002
Th: 0.4114 0.8227 0.0998
Th: 0.7367 0.4734 0.2500
Th: 0.2633 0.5266 0.7500
Th: 0.5886 0.1773 0.5998
Th: 0.5886 0.1773 0.9002
Th: 0.0815 0.1631 0.1068
Th: 0.0815 0.1631 0.3932
Os: 0.7473 0.4946 0.7500
Os: 0.2527 0.5054 0.2500
Au: 0.7588 0.5176 0.4434
Au: 0.7588 0.5176 0.0566
Au: 0.2412 0.4824 0.5566
Au: 0.2412 0.4824 0.9434

---

Th2OsAu | GGA-PBE | optimized geometry

Computed properties:
ΔE_f ... -2.1 eV/f.u.
Total magnetization ... 0.00 μB per formula unit

Cell: 4.1731 4.1731 7.5351 Å, 73.92 73.92 60.00°
Fractional coordinates of all 4 atoms:
Os: 0.0000 0.0000 0.0000
Au: 0.5000 0.5000 0.5000
Th: 0.7387 0.7387 0.7840
Th: 0.2613 0.2613 0.2160

---

Th7Os2Au2 | GGA-PBE | optimized geometry

Computed properties:
ΔE_f ... -2.1 eV/f.u.
ΔE to the lowest computed polymorph ... 18.1 kJ per mole of atoms
Total magnetization ... 0.00 μB per formula unit

Cell: 6.8810 6.9911 6.8810 Å, 90.02 105.33 89.98°
Fractional coordinates of all 11 atoms:
Th: 0.9998 0.2648 0.5003
Th: 0.5003 0.7352 0.9998
Th: 0.0002 0.7352 0.4997
Th: 0.4997 0.2648 0.0002
Th: 0.0000 0.0000 0.0000
Th: 0.5002 0.7343 0.4998
Th: 0.4998 0.2657 0.5002
Os: 0.7150 0.0000 0.2850
Os: 0.2850 0.0000 0.7150
Au: 0.8324 0.5000 0.8324
Au: 0.1676 0.5000 0.1676

---

Th5OsAu2 | GGA-PBE | optimized geometry

Computed properties:
ΔE_f ... -3.4 eV/f.u.
ΔE to the lowest computed polymorph ... 0.0 kJ per mole of atoms
Total magnetization ... 0.00 μB per formula unit

Cell: 4.5211 8.2958 11.9207 Å, 90.00 90.00 90.00°
Fractional coordinates of all 16 atoms:
Th: 0.0000 0.0000 0.5000
Th: 0.0000 0.5000 0.0000
Th: 0.0000 0.8579 0.2120
Th: 0.0000 0.1421 0.7880
Th: 0.0000 0.6421 0.7120
Th: 0.0000 0.3579 0.2880
Th: 0.5000 0.6881 0.4274
Th: 0.5000 0.3119 0.5726
Th: 0.5000 0.8119 0.9274
Th: 0.5000 0.1881 0.0726
Os: 0.0000 0.5000 0.5000
Os: 0.0000 0.0000 0.0000
Au: 0.5000 0.5876 0.1728
Au: 0.5000 0.4124 0.8272
Au: 0.5000 0.9124 0.6728
Au: 0.5000 0.0876 0.3272

---

Th5Os2Au | GGA-PBE | optimized geometry

Computed properties:
ΔE_f ... -3.3 eV/f.u.
Total magnetization ... 0.00 μB per formula unit

Cell: 7.8935 7.8935 8.7722 Å, 116.74 116.74 90.00°
Fractional coordinates of all 16 atoms:
Th: 0.5215 0.6998 0.7213
Th: 0.8002 0.9785 0.2787
Th: 0.0000 0.0000 0.0000
Th: 0.5000 0.5000 0.0000
Th: 0.1998 0.0215 0.7213
Th: 0.6998 0.1998 0.7213
Th: 0.0215 0.5215 0.7213
Th: 0.3002 0.8002 0.2787
Th: 0.9785 0.4785 0.2787
Th: 0.4785 0.3002 0.2787
Os: 0.1379 0.3621 0.0000
Os: 0.6379 0.1379 0.0000
Os: 0.3621 0.8621 0.0000
Os: 0.8621 0.6379 0.0000
Au: 0.7500 0.7500 0.5000
Au: 0.2500 0.2500 0.5000

---

YThOsAu | GGA-PBE | optimized geometry

Computed properties:
ΔE_f ... -1.7 eV/f.u.
Total magnetization ... 0.00 μB per formula unit

Cell: 5.0653 5.0653 5.0653 Å, 60.00 60.00 60.00°
Fractional coordinates of all 4 atoms:
Y: 0.0000 0.0000 0.0000
Os: 0.2500 0.2500 0.2500
Au: 0.7500 0.7500 0.7500
Th: 0.5000 0.5000 0.5000

---

TiOsAu2 | GGA-PBE | optimized geometry

Computed properties:
ΔE_f ... 1.2 eV/f.u.
ΔE to the lowest computed polymorph ... 6.3 kJ per mole of atoms
Total magnetization ... 0.00 μB per formula unit

Cell: 3.7803 3.7803 10.2028 Å, 79.32 79.32 90.00°
Fractional coordinates of all 8 atoms:
Os: 0.0000 0.0000 0.0000
Os: 0.7500 0.2500 0.5000
Au: 0.6290 0.1250 0.2500
Au: 0.1210 0.6250 0.2500
Au: 0.3750 0.3710 0.7500
Au: 0.8750 0.8790 0.7500
Ti: 0.5000 0.5000 0.0000
Ti: 0.2500 0.7500 0.5000